Compound: NaTbTlPd
Source: Alexandria via LeMat-Bulk
Functional: PBE-GGA
Structure: optimized geometry

Cell and atoms, written as POSCAR:
```
NaTbTlPd
1.0
-2.9727 1.4843 -3.8553
-5.0635 -0.1114 0.5019
-2.6203 4.3502 0.3358
Na Tl Tb Pd
1 1 1 1
Cartesian
0.0000 0.0000 0.0000
-2.6641 1.4308 -0.7544
-5.3282 2.8615 -1.5088
-7.9923 4.2923 -2.2631
```

Computed properties:
Crystal system   cubic
Calculated formation energy   -0.2812 eV per atom
SG   F-43m (216)